1.
Density functional theory data (PBE) for an optimized crystal structure of SrYTe4.

Cell and atoms, written as POSCAR:
```
SrYTe4
1.0
0.000 4.611 4.611
4.611 0.000 4.611
4.611 4.611 0.000
Sr Y Te
1 1 4
direct
0.000 0.000 0.000
0.250 0.250 0.250
0.126 0.625 0.625
0.625 0.126 0.625
0.625 0.625 0.126
0.625 0.625 0.625
```

## Properties
The formation energy from raw total energies comes out at -0.14 eV/atom. As for the spin magnetization: 0.04 μB per atom. Its raw total energy is -21.57 eV/cell.



2.
Density functional theory data (PBE) for an optimized crystal structure of Ca2InRu.

Cell and atoms, written as POSCAR:
```
Ca2InRu
1.0
4.690 0.000 0.000
0.000 4.690 0.000
0.000 0.000 4.249
Ca In Ru
2 1 1
direct
0.000 0.500 0.000
0.500 0.000 0.000
0.000 0.000 0.500
0.500 0.500 0.500
```

## Properties
For the formation energy, the calculation gives 0.080 eV per atom. As for the spin magnetization: 0.00 μB per atom. Its raw total energy is -15.70 eV/cell.



3.
Density functional theory data (PBE) for an optimized crystal structure of CsAgO2.

Cell and atoms, written as POSCAR:
```
CsAgO2
1.0
5.703 0.000 0.000
0.000 5.703 0.000
0.000 0.000 11.219
Cs Ag O
4 4 8
direct
0.000 0.000 0.000
0.000 0.500 0.250
0.500 0.000 0.750
0.500 0.500 0.500
0.000 0.000 0.500
0.000 0.500 0.750
0.500 0.000 0.250
0.500 0.500 0.000
0.096 0.250 0.625
0.250 0.596 0.875
0.250 0.904 0.375
0.404 0.250 0.125
0.596 0.750 0.125
0.750 0.096 0.375
0.750 0.404 0.875
0.904 0.750 0.625
```

## Properties
The formation energy from raw total energies comes out at -0.33 eV/atom. As for the spin magnetization: 0.00 μB per atom. Its raw total energy is -59.82 eV/cell.



4.
Density functional theory data (PBE) for an optimized crystal structure of La4IrPdCl2.

Cell and atoms, written as POSCAR:
```
La4IrPdCl2
1.0
7.320 0.000 0.000
0.000 4.222 0.000
-2.443 0.000 7.632
La Ir Pd Cl
4 1 1 2
direct
0.227 0.000 0.207
0.254 0.500 0.793
0.746 0.500 0.207
0.773 0.000 0.793
0.000 0.500 0.000
0.500 0.000 0.000
0.000 0.000 0.500
0.500 0.500 0.500
```

## Properties
The formation energy from raw total energies comes out at -1.27 eV/atom. As for the spin magnetization: 0.00 μB per atom. Its raw total energy is -47.61 eV/cell.